1.
Computed, not measured: a relaxed structure of PmTm12Sc6 at the PBE level of DFT.

Results
D(E_F)   1.624 states/eV/atom
ΔE_f   23.9 kJ/mol of atoms
Relative energy among the computed polymorphs   0.00 eV/f.u.
Crystal system   cubic
Final energy   -4.83 eV per atom

abc: 10.3457 10.3457 10.3457
angles: 90.00 90.00 90.00
With the nearest neighbours (Å) after each atom.
Space group Im-3 (No. 204)
Symmetry-distinct sites (fractional):
Pm 0.0000 0.0000 0.0000  12 Tm 3.42
Tm 0.0000 0.2663 0.1957  1 Sc 2.97
Sc 0.0000 0.1379 0.5000  1 Sc 2.85, 2 Tm 2.97

=====

2.
Computed, not measured: a relaxed structure of Pt2W at the PBE level of DFT.

Results
D(E_F)   0.662 states/eV/atom
ΔE_f   -29.8 kJ/mol of atoms
Relative energy among the computed polymorphs   0.13 eV/f.u.
Crystal system   tetragonal
Final energy   -8.65 eV per atom

abc: 2.7950 2.7950 12.0461
angles: 90.00 90.00 90.00
With the nearest neighbours (Å) after each atom.
Space group I4/mmm (No. 139)
Symmetry-distinct sites (fractional):
Pt 0.0000 0.0000 0.1589  4 W 2.75, 8 Pt 2.79-2.95
W 0.0000 0.0000 0.5000  8 Pt 2.75, 4 W 2.79

=====

3.
Computed, not measured: a relaxed structure of Ce3Dy2Se8 at the PBE level of DFT.

Results
D(E_F)   1.203 states/eV/atom
Formation energy (no corrections)   -1.7765 eV/atom
Crystal system   monoclinic
Final energy   -6.00 eV per atom

abc: 14.4725 8.5003 7.3773
angles: 90.00 111.06 90.00
With the nearest neighbours (Å) after each atom.
Space group C2/m (No. 12)
Symmetry-distinct sites (fractional):
Ce 0.0000 0.0000 0.0000  6 Se 2.95-2.97
Ce 0.0000 0.2563 0.5000  6 Se 2.85-2.97
Dy 0.2445 0.5000 0.4706  6 Se 2.79-2.95
Se 0.1200 0.0000 0.7475  1 Dy 2.95, 3 Ce 2.97
Se 0.1285 0.2334 0.2696  2 Dy 2.89-2.91, 2 Ce 2.94-2.95
Se 0.1306 0.5000 0.7063  1 Dy 2.79, 2 Ce 2.85

=====

4.
Computed, not measured: a relaxed structure of BaAs2SBr at the PBE level of DFT.

Results
D(E_F)   0.436 states/eV/atom
Formation energy (no corrections)   -0.3996 eV/atom
Relative energy among the computed polymorphs   0.00 eV/f.u.
Crystal system   tetragonal
Final energy   -3.80 eV per atom

abc: 4.7727 4.7727 6.7253
angles: 90.00 90.00 90.00
With the nearest neighbours (Å) after each atom.
Space group P4/mmm (No. 123)
Symmetry-distinct sites (fractional):
Ba 0.0000 0.0000 0.0000  4 Br 3.37
As 0.0000 0.5000 0.5000  2 S 2.39
S 0.5000 0.5000 0.5000  4 As 2.39
Br 0.5000 0.5000 0.0000  2 S 3.36, 4 Ba 3.37

=====

5.
Computed, not measured: a relaxed structure of MgHg2Te at the PBE level of DFT.

Results
D(E_F)   0.198 states/eV/atom
Formation energy (no corrections)   -0.2805 eV/atom
Relative energy among the computed polymorphs   0.00 eV/f.u.
Crystal system   monoclinic
Final energy   -1.62 eV per atom

abc: 7.8376 4.4805 7.6311
angles: 90.00 110.22 90.00
With the nearest neighbours (Å) after each atom.
Space group Cm (No. 8)
Symmetry-distinct sites (fractional):
Mg 0.0000 0.0000 0.0000  3 Te 2.79
Hg 0.0016 0.5000 0.5172  3 Hg 3.13-3.15
Hg 0.2520 0.5000 0.2719  3 Hg 3.13-3.15, 3 Mg 3.22-3.30
Te 0.2839 0.0000 0.8586  3 Mg 2.79

=====

6.
Computed, not measured: a relaxed structure of TiV2SbH at the PBE level of DFT.

Results
D(E_F)   0.448 states/eV/atom
Crystal system   tetragonal
Final energy   -6.98 eV per atom

abc: 3.9899 3.9899 4.0806
angles: 90.00 90.00 90.00
With the nearest neighbours (Å) after each atom.
Space group P4/mmm (No. 123)
Symmetry-distinct sites (fractional):
Ti 0.0000 0.0000 0.0000  2 H 2.04
V 0.0000 0.5000 0.5000  2 H 1.99
Sb 0.5000 0.5000 0.0000  4 Ti 2.82, 8 V 2.85
H 0.0000 0.0000 0.5000  4 V 1.99, 2 Ti 2.04